Record 1
4
Lattice="2.0531 -2.0593 0.0000 2.0531 2.0593 0.0000 0.0000 0.0000 9.0832" Properties=species:S:1:pos:R:3 comment="PBE BaTc2Ru, optimized geometry" crystal_system=orthorhombic mass_density_kg_m3=9391 formation_enthalpy_0k_ev_per_fu=3.48 sg="Cmmm, No. 65" pbc="T T T"
Ba 0.0000 0.0000 0.0000
Tc 2.0531 0.0000 2.8046
Tc 2.0531 0.0000 6.2786
Ru 0.0000 0.0000 4.5416

---

Record 2
4
Lattice="2.1735 1.2549 6.0287 -2.1735 1.2549 6.0287 0.0000 -2.5097 6.0287" Properties=species:S:1:pos:R:3 comment="PBE BaTc2Ru, optimized geometry" crystal_system=trigonal mass_density_kg_m3=7311 formation_enthalpy_0k_ev_per_fu=2.12 sg="R-3m, No. 166" pbc="T T T"
Ba 0.0000 0.0000 0.0000
Tc 0.0000 0.0000 3.4569
Tc 0.0000 0.0000 14.6293
Ru 0.0000 0.0000 9.0431

---

Record 3
4
Lattice="3.0395 0.0000 0.0000 0.0000 4.8810 0.0000 0.0000 0.0000 5.0749" Properties=species:S:1:pos:R:3 comment="PBE BaTcRu2, optimized geometry" crystal_system=orthorhombic mass_density_kg_m3=9649 formation_enthalpy_0k_ev_per_fu=5.34 sg="Pmmm, No. 47" pbc="T T T"
Ba 0.0000 0.0000 0.0000
Tc 1.5198 0.0000 2.5374
Ru 0.0000 2.4405 2.5374
Ru 1.5198 2.4405 0.0000

---

Record 4
4
Lattice="-2.4222 2.4403 4.6215 2.4222 -2.4403 4.6215 2.4222 2.4403 -4.6215" Properties=species:S:1:pos:R:3 comment="PBE Ba2TcRu, optimized geometry" crystal_system=orthorhombic mass_density_kg_m3=7199 formation_enthalpy_0k_ev_per_fu=4.81 sg="Immm, No. 71" pbc="T T T"
Ba 0.0000 0.0000 2.3005
Ba 0.0000 0.0000 6.9425
Tc 0.0000 2.4403 0.0000
Ru 2.4222 0.0000 0.0000